No. 1
A geometry-optimized NbCr structure. Source: Alexandria via LeMat-Bulk, functional PBE.

Values from the calculation:
Raw total energy: -9.694 eV/atom
E_form: 0.15 eV/atom
Symmetry: Cmmm (65)

abc: 3.1466 4.5355 4.2261
angles: 90.00 90.00 90.00
Fractional positions:
Nb 0.0000 0.0000 0.5000
Nb 0.5000 0.5000 0.5000
Cr 0.5000 0.0000 0.0000
Cr 0.0000 0.5000 0.0000

No. 2
A geometry-optimized Pr3OsBrCl structure. Source: Alexandria via LeMat-Bulk, functional PBE.

Values from the calculation:
Raw total energy: -5.792 eV/atom
Symmetry: P2_1/m (11)
Energy relative to the elements, uncorrected: -0.94 eV per atom

abc: 4.0511 9.2418 11.7604
angles: 126.74 90.00 90.00
Fractional positions:
Pr 0.7500 0.3169 0.4611
Pr 0.2500 0.6831 0.5389
Pr 0.2500 0.5482 0.8128
Pr 0.7500 0.9728 0.1118
Pr 0.2500 0.0272 0.8882
Pr 0.7500 0.4518 0.1872
Br 0.2500 0.7184 0.1344
Br 0.7500 0.2816 0.8656
Cl 0.2500 0.1880 0.5593
Cl 0.7500 0.8120 0.4407
Os 0.2500 0.2770 0.2382
Os 0.7500 0.7230 0.7618

No. 3
A geometry-optimized MnNi3H6 structure. Source: Alexandria via LeMat-Bulk, functional PBE.

Values from the calculation:
Excess energy over the best structure of this formula in the dataset: 0.0 meV/atom
Raw total energy: -4.660 eV/atom
Symmetry: P2_1/m (11)

abc: 2.6805 6.9534 6.8752
angles: 105.76 90.00 90.00
Last column: magnetic moment on the atom in μB.
Fractional positions:
H 0.7500 0.7273 0.7754  0.00
H 0.2500 0.2727 0.2246  0.00
H 0.7500 0.1042 0.4312  -0.03
H 0.2500 0.2943 0.7275  -0.02
H 0.7500 0.3810 0.0305  0.00
H 0.7500 0.9143 0.1065  -0.02
H 0.7500 0.4583 0.5763  0.00
H 0.2500 0.5417 0.4237  0.00
H 0.7500 0.7057 0.2725  -0.02
H 0.2500 0.6190 0.9695  0.00
H 0.2500 0.8958 0.5688  -0.03
H 0.2500 0.0857 0.8935  -0.02
Ni 0.2500 0.5121 0.1719  -0.03
Ni 0.2500 0.3134 0.4819  0.06
Ni 0.7500 0.4879 0.8281  -0.03
Ni 0.7500 0.1553 0.1008  0.05
Ni 0.2500 0.8447 0.8992  0.05
Ni 0.7500 0.6866 0.5181  0.06
Mn 0.7500 0.0826 0.6885  2.87
Mn 0.2500 0.9174 0.3115  2.87

No. 4
A geometry-optimized Na2CoH6Pb structure. Source: Alexandria via LeMat-Bulk, functional PBE.

Values from the calculation:
Raw total energy: -3.392 eV/atom
Symmetry: P-3m1 (164)

abc: 6.1716 4.9258 4.9258
angles: 120.00 90.00 90.00
Fractional positions:
H 0.8499 0.1468 0.8532
H 0.1501 0.8532 0.1468
H 0.8499 0.1468 0.2935
H 0.1501 0.8532 0.7065
H 0.8499 0.7065 0.8532
H 0.1501 0.2935 0.1468
Na 0.1252 0.3333 0.6667
Na 0.8748 0.6667 0.3333
Co 0.0000 0.0000 0.0000
Pb 0.5000 0.0000 0.0000

No. 5
A geometry-optimized Sc4CoAu structure. Source: Alexandria via LeMat-Bulk, functional PBE.

Values from the calculation:
Excess energy over the best structure of this formula in the dataset: 834.4 meV/atom
Raw total energy: -5.557 eV/atom
E_form: 0.39 eV/atom
Symmetry: F-43m (216)

abc: 5.5236 5.5236 5.5236
angles: 60.00 60.00 60.00
Last column: magnetic moment on the atom in μB.
Fractional positions:
Sc 0.3749 0.8754 0.3749  0.10
Sc 0.3749 0.3749 0.3749  0.10
Sc 0.3749 0.3749 0.8754  0.10
Sc 0.8754 0.3749 0.3749  0.10
Au 0.7500 0.7500 0.7500  0.01
Co 0.0000 0.0000 0.0000  1.59

No. 6
A geometry-optimized YbAsPt structure. Source: Alexandria via LeMat-Bulk, functional PBE.

Values from the calculation:
Raw total energy: -5.152 eV/atom
E_form: -1.08 eV/atom
Symmetry: P6_3/mmc (194)

abc: 4.2485 4.2485 8.1371
angles: 90.00 90.00 120.00
Fractional positions:
Pt 0.3333 0.6667 0.7500
Pt 0.6667 0.3333 0.2500
As 0.3333 0.6667 0.2500
As 0.6667 0.3333 0.7500
Yb 0.0000 0.0000 0.0000
Yb 0.0000 0.0000 0.5000

No. 7
A geometry-optimized ZrAsBr structure. Source: Alexandria via LeMat-Bulk, functional PBE.

Values from the calculation:
Excess energy over the best structure of this formula in the dataset: 215.9 meV/atom
Raw total energy: -5.650 eV/atom
Symmetry: Fmm2 (42)
Energy relative to the elements, uncorrected: -0.69 eV per atom

abc: 7.6569 7.4953 3.3636
angles: 79.87 74.50 25.62
Fractional positions:
Br 0.2952 0.2952 0.7048
As 0.0462 0.0462 0.9538
Zr 0.6586 0.6586 0.3414

No. 8
A geometry-optimized PrY6Er8 structure. Source: Alexandria via LeMat-Bulk, functional PBE.

Values from the calculation:
Excess energy over the best structure of this formula in the dataset: 95.1 meV/atom
Raw total energy: -5.113 eV/atom
E_form: 0.23 eV/atom
Symmetry: P-3 (147)

abc: 6.4309 9.4511 9.4511
angles: 120.00 90.00 90.00
Fractional positions:
Er 0.9104 0.9772 0.3145
Er 0.1520 0.6667 0.3333
Er 0.0896 0.0228 0.6855
Er 0.8480 0.3333 0.6667
Er 0.9104 0.3373 0.0228
Er 0.0896 0.6627 0.9772
Er 0.9104 0.6855 0.6627
Er 0.0896 0.3145 0.3373
Pr 0.5000 0.0000 0.0000
Y 0.4125 0.3167 0.8957
Y 0.5875 0.8957 0.5790
Y 0.4125 0.5790 0.6833
Y 0.4125 0.1043 0.4210
Y 0.5875 0.4210 0.3167
Y 0.5875 0.6833 0.1043

> What is the raw total energy in the seventh record?

-5.650 eV/atom